Below is a relaxed structure of MgTaRu2, with properties calculated at the PBE level.

Cell: 2.8135 2.8135 8.2229 Å, 90.00 90.00 90.00°
Element x y z (fractional)
Mg1 0.0000 0.0000 0.0000
Ta1 0.5000 0.5000 0.7025
Ru1 0.0000 0.0000 0.4449
Ru2 0.5000 0.5000 0.2438

For the calculated volume, the calculation gives 16.27 Å³/atom. The calculated formation energy is 94 meV/atom. As for the calculated density: 10.39 g cm⁻³.